# 1
A plane-wave DFT calculation with PBE was carried out for crystalline CuAuSe2 at its relaxed geometry.

The raw total energy comes out at -3.09 eV/atom. As for the density: 9.5 g/cm³. As for the size of the total moment: 0.00 μB per cell. Its formation energy (no corrections) is 495 meV/atom.

It has space group F-43m (No. 216), with a = 6.646 Å, b = 6.646 Å, c = 6.646 Å, α = 90.00°, β = 90.00° and γ = 90.00°. The distinct sites, in fractional coordinates, are Cu at (0.000, 0.000, 0.000), Au at (0.250, 0.250, 0.250), Se at (0.000, 0.000, 0.500) and Se at (0.250, 0.250, 0.750).

# 2
A plane-wave DFT calculation with PBE was carried out for crystalline CuAuSe2 at its relaxed geometry.

The raw total energy comes out at -3.49 eV/atom. As for the density: 9.0 g/cm³. As for the size of the total moment: 0.00 μB per cell. Its formation energy (no corrections) is 96 meV/atom.

It has space group Cmmm (No. 65), with a = 5.567 Å, b = 7.501 Å, c = 3.702 Å, α = 90.00°, β = 90.00° and γ = 90.00°. The distinct sites, in fractional coordinates, are Cu at (0.000, 0.000, 0.000), Au at (0.000, 0.500, 0.000) and Se at (0.000, 0.235, 0.500).

# 3
A plane-wave DFT calculation with PBE was carried out for crystalline Cu2AuSe at its relaxed geometry.

The raw total energy comes out at -3.69 eV/atom. As for the density: 10.1 g/cm³. As for the size of the total moment: 0.00 μB per cell. Its formation energy (no corrections) is 44 meV/atom.

It has space group Pmmm (No. 47), with a = 2.861 Å, b = 3.548 Å, c = 6.524 Å, α = 90.00°, β = 90.00° and γ = 90.00°. The distinct sites, in fractional coordinates, are Cu at (0.000, 0.000, 0.221), Au at (0.500, 0.500, 0.000) and Se at (0.000, 0.500, 0.500).

# 4
A plane-wave DFT calculation with PBE was carried out for crystalline CuAuSe2 at its relaxed geometry.

The raw total energy comes out at -3.57 eV/atom. As for the density: 7.8 g/cm³. As for the size of the total moment: 0.00 μB per cell. Its formation energy (no corrections) is 13 meV/atom.

It has space group R-3m (No. 166, hexagonal axes), with a = 3.7079 Å, b = 3.7079 Å, c = 22.4725 Å, α = 90.00°, β = 90.00° and γ = 120.00°. The distinct sites, in fractional coordinates, are Cu at (0.0000, 0.0000, 0.0000), Au at (0.0000, 0.0000, 0.5000) and Se at (0.0000, 0.0000, 0.3920).

# 5
A plane-wave DFT calculation with PBE was carried out for crystalline CuAuSe2 at its relaxed geometry.

The raw total energy comes out at -3.21 eV/atom. As for the density: 9.3 g/cm³. As for the size of the total moment: 0.00 μB per cell. Its formation energy (no corrections) is 372 meV/atom.

It has space group Cmmm (No. 65), with a = 7.274 Å, b = 7.373 Å, c = 2.786 Å, α = 90.00°, β = 90.00° and γ = 90.00°. The distinct sites, in fractional coordinates, are Cu at (0.000, 0.000, 0.000), Au at (0.000, 0.500, 0.000) and Se at (0.250, 0.250, 0.500).

# 6
A plane-wave DFT calculation with PBE was carried out for crystalline Cu2AuSe at its relaxed geometry.

The raw total energy comes out at -3.58 eV/atom. As for the density: 10.7 g/cm³. As for the size of the total moment: 0.00 μB per cell. Its formation energy (no corrections) is 157 meV/atom.

It has space group I-4m2 (No. 119), with a = 3.811 Å, b = 3.811 Å, c = 8.645 Å, α = 90.00°, β = 90.00° and γ = 90.00°. The distinct sites, in fractional coordinates, are Cu at (0.000, 0.000, 0.000), Cu at (0.000, 0.500, 0.250), Au at (0.000, 0.000, 0.500) and Se at (0.000, 0.500, 0.750).